A geometry-optimized PrHoMnIn structure, computed with GGA-PBE.

Values from the calculation:
Total DFT energy (no corrections) = -5.384 eV per atom
M_tot = 3.36 μB per cell
Formation energy = -6.5 kJ/mol of atoms

Cell lengths 5.2949, 5.2949, 5.2949 Å; angles 60.00, 60.00, 60.00 degrees
With the nearest neighbours (Å) after each atom.
Positions (direct):
1 Mn 0.0000 0.0000 0.0000  4 Ho 3.24, 4 Pr 3.24
2 Pr 0.2500 0.2500 0.2500  4 Mn 3.24, 4 In 3.24
3 In 0.5000 0.5000 0.5000  4 Pr 3.24, 4 Ho 3.24
4 Ho 0.7500 0.7500 0.7500  4 In 3.24, 4 Mn 3.24